Entry 1:
VASP calculation (GGA-PBE) on SrCdCuAu3 after structural relaxation.

POSCAR file:
```
SrCdCuAu3
1.0
3.041 -6.171 0.000
3.041 6.171 0.000
0.000 0.000 7.580
Sr Cd Cu Au
2 2 2 6
Cartesian
3.041 3.854 5.685
3.041 -3.854 1.895
3.041 4.600 1.895
3.041 -4.600 5.685
3.041 0.805 5.685
3.041 -0.805 1.895
1.483 0.000 0.000
1.483 0.000 3.790
3.041 1.847 1.895
3.041 -1.847 5.685
4.599 0.000 0.000
4.599 0.000 3.790
```

Results
The volume comes out at 284 Å³ per cell. The total moment comes out at 0.0 Bohr magnetons per cell. For the formation energy from the elements, the calculation gives -5.9 kcal/mol of atoms. The space-group type is Cmcm (63). Its crystal system is orthorhombic. The value obtained for the density is 9.98 g cm⁻³. The density of states at the Fermi level is 2.45 states/eV/f.u.

***

Entry 2:
VASP calculation (GGA-PBE) on GaNi2Ir after structural relaxation.

POSCAR file:
```
GaNi2Ir
1.0
2.701 0.000 0.000
0.000 2.701 0.000
0.000 0.000 6.887
Ga Ni Ir
1 2 1
Cartesian
0.000 0.000 0.000
1.350 1.350 1.655
1.350 1.350 5.231
0.000 0.000 3.443
```

Results
The volume comes out at 50 Å³ per cell. The total moment comes out at 0.0 Bohr magnetons per cell. For the formation energy from the elements, the calculation gives -3.3 kcal/mol of atoms. The space-group type is P4/mmm (123). Its crystal system is tetragonal. The value obtained for the density is 12.54 g cm⁻³. The density of states at the Fermi level is 4.78 states/eV/f.u.

***

Entry 3:
VASP calculation (GGA-PBE) on ErTlF6 after structural relaxation.

POSCAR file:
```
ErTlF6
1.0
5.562 0.000 0.000
-2.781 4.817 0.000
0.000 0.000 10.417
Er Tl F
2 2 12
Cartesian
0.000 3.211 2.604
2.781 1.606 7.813
0.000 0.000 0.000
0.000 0.000 5.209
-0.695 1.621 1.304
-1.725 3.404 3.905
0.695 1.621 3.905
-1.029 4.609 1.304
1.752 0.208 6.512
1.056 1.413 9.113
1.725 3.404 1.304
1.029 4.609 3.905
3.810 0.208 9.113
2.086 3.196 6.512
4.506 1.413 6.512
3.477 3.196 9.113
```

Results
The volume comes out at 279 Å³ per cell. The total moment comes out at 0.3 Bohr magnetons per cell. The space-group type is P-31c (163). The value obtained for the formation energy without anion corrections is -2.960 eV per atom. Its crystal system is trigonal. The value obtained for the density is 5.78 g cm⁻³. The density of states at the Fermi level is 0.00 states/eV/f.u.

***

Entry 4:
VASP calculation (GGA-PBE) on RbNbTe4 after structural relaxation.

POSCAR file:
```
RbNbTe4
1.0
6.456 0.000 0.000
-1.266 8.283 0.000
-2.565 -4.144 8.107
Rb Nb Te
2 2 8
Cartesian
-0.003 0.001 3.252
2.627 4.139 4.855
-1.602 -0.020 8.106
4.227 4.160 0.001
-0.609 6.499 0.003
-0.629 4.139 2.479
0.055 -1.838 6.611
0.006 1.836 6.614
2.618 2.303 1.493
2.570 5.978 1.497
3.253 0.001 5.628
3.233 -2.360 8.105
```

Results
The energy relative to the lowest polymorph listed for this composition is 0.00 kJ/mol of atoms. The volume comes out at 434 Å³ per cell. The total moment comes out at 0.0 Bohr magnetons per cell. The space-group type is P-1 (2). The value obtained for the formation energy without anion corrections is -0.463 eV per atom. Its crystal system is triclinic. The value obtained for the density is 5.28 g cm⁻³. The density of states at the Fermi level is 2.27 states/eV/f.u.

***

Entry 5:
VASP calculation (GGA-PBE) on AcPm2Nd2Er2 after structural relaxation.

POSCAR file:
```
AcPm2Nd2Er2
1.0
5.794 -2.600 0.000
5.794 2.600 0.000
-1.172 0.000 8.110
Ac Pm Nd Er
1 2 2 2
Cartesian
0.000 0.000 0.000
2.317 0.000 6.881
8.099 0.000 1.229
4.590 0.000 2.367
5.826 0.000 5.743
1.145 0.000 3.521
9.270 0.000 4.589
```

Results
The volume comes out at 244 Å³ per cell. The total moment comes out at 0.0 Bohr magnetons per cell. For the formation energy from the elements, the calculation gives 0.8 kcal/mol of atoms. The space-group type is C2/m (12). Its crystal system is monoclinic. The value obtained for the density is 7.75 g cm⁻³. The density of states at the Fermi level is 10.86 states/eV/f.u.

***

Entry 6:
VASP calculation (GGA-PBE) on Sr2LaTc after structural relaxation.

POSCAR file:
```
Sr2LaTc
1.0
-1.899 3.029 6.073
1.899 -3.029 6.073
1.899 3.029 -6.073
Sr La Tc
2 1 1
Cartesian
0.000 0.000 0.000
0.000 3.029 2.270
0.000 0.000 4.420
1.899 0.000 2.726
```

Results
The energy relative to the lowest polymorph listed for this composition is 1.36 kJ/mol of atoms. The volume comes out at 140 Å³ per cell. The total moment comes out at 0.0 Bohr magnetons per cell. For the formation energy from the elements, the calculation gives 7.6 kcal/mol of atoms. The space-group type is Imm2 (44). Its crystal system is orthorhombic. The value obtained for the density is 4.90 g cm⁻³. The density of states at the Fermi level is 4.95 states/eV/f.u.